{"formula": "CsAgO3", "functional": "GGA-PBE", "state": "optimized geometry", "cell": [[4.329, 0.000, 0.000], [0.000, 4.329, 0.000], [0.000, 0.000, 4.329]], "species": ["Cs", "Ag", "O", "O", "O"], "fractional_positions": [[0.000, 0.000, 0.000], [0.500, 0.500, 0.500], [0.000, 0.500, 0.500], [0.500, 0.000, 0.500], [0.500, 0.500, 0.000]], "e_form_raw_ev_per_atom": 0.018, "dft_energy_ev_per_atom": -3.698, "space_group": "Pm-3m"}